Entry from the Alexandria database: a geometry-optimized YNi4B structure (PBE).

Unit cell a=4.9891 b=4.9891 c=6.9593 alpha=90.00 beta=90.00 gamma=120.00
Last column: nearest neighbours and their distance in Å.
Positions (direct):
Ni 0.5000 0.5000 0.7073  2 B 2.04
B 0.3333 0.6667 0.5000  6 Ni 2.04
Ni 0.5000 0.5000 0.2927  2 B 2.04
Y 0.0000 0.0000 0.0000  18 Ni 2.88-3.22
Ni 0.3333 0.6667 0.0000  6 Ni 2.49
Y 0.0000 0.0000 0.5000  6 B 2.88, 12 Ni 2.88
Ni 0.0000 0.5000 0.7073  2 B 2.04
Ni 0.6667 0.3333 0.0000  6 Ni 2.49
B 0.6667 0.3333 0.5000  6 Ni 2.04
Ni 0.5000 0.0000 0.2927  2 B 2.04
Ni 0.5000 0.0000 0.7073  2 B 2.04
Ni 0.0000 0.5000 0.2927  2 B 2.04

## Properties
Space group: P6/mmm, No. 191
Calculated volume: 75.0 Å³/f.u.

Entry from the Alexandria database: a geometry-optimized SmDyBr6 structure (PBE).

Unit cell a=7.5692 b=7.5692 c=7.0426 alpha=97.80 beta=97.80 gamma=124.62
Last column: nearest neighbours and their distance in Å.
Positions (direct):
Dy 0.0000 0.0000 0.0000  6 Br 2.80-2.82
Br 0.3889 0.1003 0.2452  1 Dy 2.82, 1 Sm 2.88
Br 0.1003 0.3889 0.2452  1 Dy 2.82, 1 Sm 2.88
Br 0.7526 0.7526 0.2476  1 Dy 2.80, 1 Sm 2.86
Br 0.6111 0.8997 0.7548  1 Dy 2.82, 1 Sm 2.88
Br 0.8997 0.6111 0.7548  1 Dy 2.82, 1 Sm 2.88
Br 0.2474 0.2474 0.7524  1 Dy 2.80, 1 Sm 2.86
Sm 0.5000 0.5000 0.5000  6 Br 2.86-2.88

## Properties
Space group: C2/m, No. 12
Calculated volume: 317.6 Å³/f.u.
Formation energy from raw total energies: -1.84 eV per atom

Entry from the Alexandria database: a geometry-optimized Ac4Au2N structure (PBE).

Unit cell a=5.0445 b=5.0445 c=9.6406 alpha=74.83 beta=74.83 gamma=90.00
Last column: nearest neighbours and their distance in Å.
Positions (direct):
Ac 0.6894 0.6894 0.6212  1 Au 3.03
N 0.0000 0.0000 0.0000  4 Ac 2.52, 2 Au 2.53
Ac 0.5000 0.0000 0.0000  2 N 2.52
Au 0.8588 0.8588 0.2825  1 N 2.53
Ac 0.3106 0.3106 0.3788  1 Au 3.03
Au 0.1412 0.1412 0.7175  1 N 2.53
Ac 0.0000 0.5000 0.0000  2 N 2.52

## Properties
Space group: I4/mmm, No. 139
Calculated volume: 227.9 Å³/f.u.
Formation energy from raw total energies: -0.42 eV per atom

Entry from the Alexandria database: a geometry-optimized Ho4Zn2C structure (PBE).

Unit cell a=4.8481 b=4.8481 c=7.8454 alpha=72.00 beta=72.00 gamma=90.00
Last column: nearest neighbours and their distance in Å.
Positions (direct):
C 0.0000 0.0000 0.0000  6 Ho 2.42-2.43
Ho 0.8275 0.8275 0.3450  1 C 2.43
Ho 0.0000 0.5000 0.0000  2 C 2.42
Zn 0.6242 0.6242 0.7515  5 Ho 2.87-2.99
Zn 0.3758 0.3758 0.2485  5 Ho 2.87-2.99
Ho 0.5000 0.0000 0.0000  2 C 2.42
Ho 0.1725 0.1725 0.6550  1 C 2.43

## Properties
Space group: I4/mmm, No. 139
Calculated volume: 165.9 Å³/f.u.

no.,uncorrected energy (eV per cell)
1,-78.334
2,-34.084
3,-34.273
4,-31.542